Record 1
Computed, not measured: crystalline Si2HgIr at its relaxed geometry at the PBE-GGA level of DFT.

Cell: 4.274 4.274 7.076 Å, 90.00 90.00 90.00°
Space group I4/mmm (No. 139)
Inequivalent atoms, fractional coordinates:
Si: 0.000 0.500 0.250 (multiplicity 4)
Hg: 0.000 0.000 0.000 (multiplicity 2)
Ir: 0.000 0.000 0.500 (multiplicity 2)

Results
- formation energy without anion corrections (eV per atom) = 0.45

***

Record 2
Computed, not measured: crystalline Sr2SiHgIr at its relaxed geometry at the PBE-GGA level of DFT.

Cell: 5.882 5.882 4.576 Å, 90.00 90.00 90.00°
Space group P4/mmm (No. 123)
Inequivalent atoms, fractional coordinates:
Sr: 0.000 0.500 0.000 (multiplicity 2)
Si: 0.000 0.000 0.500 (multiplicity 1)
Hg: 0.500 0.500 0.500 (multiplicity 1)
Ir: 0.000 0.000 0.000 (multiplicity 1)

Results
- formation energy without anion corrections (eV per atom) = -0.41

***

Record 3
Computed, not measured: crystalline Si2TcHgIr at its relaxed geometry at the PBE-GGA level of DFT.

Cell: 4.763 4.763 5.089 Å, 90.00 90.00 90.00°
Space group P4/mmm (No. 123)
Inequivalent atoms, fractional coordinates:
Si: 0.000 0.500 0.000 (multiplicity 2)
Tc: 0.000 0.000 0.500 (multiplicity 1)
Hg: 0.500 0.500 0.000 (multiplicity 1)
Ir: 0.500 0.500 0.500 (multiplicity 1)

Results
- formation energy without anion corrections (eV per atom) = 2.09

***

Record 4
Computed, not measured: crystalline Sm6HgIr at its relaxed geometry at the PBE-GGA level of DFT.

Cell: 6.981 7.009 7.642 Å, 90.26 116.79 119.82°
Space group P-1 (No. 2)
Inequivalent atoms, fractional coordinates:
Sm: 0.033 0.082 0.254 (multiplicity 2)
Sm: 0.302 0.720 0.253 (multiplicity 2)
Sm: 0.324 0.546 0.747 (multiplicity 2)
Hg: 0.500 0.000 0.000 (multiplicity 1)
Ir: 0.500 0.500 0.500 (multiplicity 1)

Results
- ΔE_f (kJ/mol of formula units) = -115

***

Record 5
Computed, not measured: crystalline Sm2HgIr at its relaxed geometry at the PBE-GGA level of DFT.

Cell: 3.580 3.580 7.646 Å, 90.00 90.00 90.00°
Space group P4/mmm (No. 123)
Inequivalent atoms, fractional coordinates:
Sm: 0.000 0.000 0.219 (multiplicity 2)
Hg: 0.500 0.500 0.500 (multiplicity 1)
Ir: 0.500 0.500 0.000 (multiplicity 1)

Results
- E above lowest polymorph (eV/atom) = 0.000
- ΔE_f (kJ/mol of formula units) = -232

***

Record 6
Computed, not measured: crystalline Sm5HgIr2 at its relaxed geometry at the PBE-GGA level of DFT.

Cell: 7.941 7.941 13.641 Å, 90.00 90.00 90.00°
Space group I4/mcm (No. 140)
Inequivalent atoms, fractional coordinates:
Sm: 0.000 0.000 0.000 (multiplicity 4)
Sm: 0.161 0.339 0.134 (multiplicity 16)
Hg: 0.000 0.000 0.250 (multiplicity 4)
Ir: 0.139 0.361 0.500 (multiplicity 8)

Results
- ΔE_f (kJ/mol of formula units) = -465

***

Record 7
Computed, not measured: crystalline SmHgIr at its relaxed geometry at the PBE-GGA level of DFT.

Cell: 4.6215 4.6215 26.0142 Å, 90.00 90.00 120.00°
Space group R-3m (No. 166, hexagonal axes)
Inequivalent atoms, fractional coordinates:
Sm: 0.0000 0.0000 0.0951 (multiplicity 6)
Hg: 0.0000 0.0000 0.3100 (multiplicity 6)
Ir: 0.0000 0.0000 0.2026 (multiplicity 6)

Results
- ΔE_f (kJ/mol of formula units) = -21

***

Record 8
Computed, not measured: crystalline Sm4Hg2Ir at its relaxed geometry at the PBE-GGA level of DFT.

Cell: 5.968 6.647 10.228 Å, 90.00 103.19 90.00°
Space group P2_1/m (No. 11)
Inequivalent atoms, fractional coordinates:
Sm: 0.150 0.250 0.096 (multiplicity 2)
Sm: 0.261 0.011 0.748 (multiplicity 4)
Sm: 0.294 0.750 0.432 (multiplicity 2)
Hg: 0.165 0.250 0.440 (multiplicity 2)
Hg: 0.395 0.750 0.009 (multiplicity 2)
Ir: 0.083 0.750 0.174 (multiplicity 2)

Results
- ΔE_f (kJ/mol of formula units) = -260